A | {"formula": "Pu2SbPt6", "functional": "PBE", "state": "relaxed", "dos_ef_per_ev_fu": 24.28, "volume_a3_per_atom": 19.5, "lattice_angstrom": [[5.694, 0.000, 0.000], [-2.847, 4.776, 1.100], [0.000, 0.027, 6.459]], "species": ["Pt", "Pt", "Pt", "Pt", "Pt", "Pt", "Sb", "Pu", "Pu"], "fractional_positions": [[0.125, 0.251, 0.314], [0.396, 0.270, 0.677], [0.125, 0.730, 0.323], [0.875, 0.270, 0.677], [0.604, 0.730, 0.323], [0.875, 0.749, 0.686], [0.000, 0.000, 0.000], [0.645, 0.289, 0.143], [0.355, 0.711, 0.857]]}

---

B | {"formula": "Pu2SbPt6", "functional": "PBE", "state": "relaxed", "dos_ef_per_ev_fu": 24.54, "volume_a3_per_atom": 19.4, "lattice_angstrom": [[6.121, -0.032, -0.018], [0.026, 5.735, 0.005], [0.026, 2.862, 4.970]], "species": ["Pt", "Pt", "Pt", "Pt", "Pt", "Pt", "Pu", "Pu", "Sb"], "fractional_positions": [[0.679, 0.648, 0.176], [0.321, 0.824, 0.352], [0.320, 0.824, 0.824], [0.680, 0.176, 0.176], [0.321, 0.352, 0.824], [0.679, 0.176, 0.648], [0.160, 0.333, 0.333], [0.840, 0.667, 0.667], [0.000, 0.000, 0.000]]}

---

Energy above the most stable structure, in kJ/mol of atoms: A 1.4; B 0.0

---

A | {"formula": "Pu2ScPt3", "functional": "PBE", "state": "relaxed", "dos_ef_per_ev_fu": 21.26, "volume_a3_per_atom": 22.7, "lattice_angstrom": [[4.102, 0.000, 0.000], [0.000, 5.649, 0.000], [-2.051, -2.825, 5.873]], "species": ["Pt", "Pt", "Pt", "Sc", "Pu", "Pu"], "fractional_positions": [[0.344, 0.344, 0.688], [0.000, 0.000, 0.000], [0.656, 0.656, 0.312], [0.000, 0.500, 0.000], [0.668, 0.168, 0.337], [0.332, 0.832, 0.663]]}

---

B | {"formula": "Pu2ScPt3", "functional": "PBE", "state": "relaxed", "dos_ef_per_ev_fu": 19.96, "volume_a3_per_atom": 20.4, "lattice_angstrom": [[-2.746, 0.914, 1.747], [-1.255, -4.615, 0.442], [7.846, -0.908, 12.802]], "species": ["Pu", "Pu", "Pu", "Pu", "Pt", "Pt", "Pt", "Pt", "Pt", "Pt", "Sc", "Sc"], "fractional_positions": [[0.000, 0.000, 0.672], [0.000, 0.500, 0.828], [0.000, 0.000, 0.328], [0.000, 0.500, 0.172], [0.501, 0.500, 0.000], [0.500, 0.000, 0.146], [0.500, 0.500, 0.646], [0.500, 0.000, 0.854], [0.500, 0.500, 0.354], [0.499, 0.000, 0.500], [0.000, 0.000, 0.000], [0.000, 0.500, 0.500]]}

---

Energy above the most stable structure, in kJ/mol of atoms: A 9.5; B 0.0

---

A | {"formula": "PuScPt", "functional": "PBE", "state": "relaxed", "dos_ef_per_ev_fu": 7.81, "volume_a3_per_atom": 20.2, "lattice_angstrom": [[-1.629, 2.087, 1.506], [-3.869, -2.813, -0.287], [2.968, -0.383, 3.743]], "species": ["Pt", "Pu", "Sc"], "fractional_positions": [[0.007, 0.000, 0.000], [0.670, 0.667, 0.333], [0.323, 0.333, 0.667]]}

---

B | {"formula": "PuScPt", "functional": "PBE", "state": "relaxed", "dos_ef_per_ev_fu": 10.07, "volume_a3_per_atom": 23.3, "lattice_angstrom": [[-4.415, 0.187, 0.471], [0.148, -3.475, 2.767], [0.773, 4.408, 5.494]], "species": ["Pu", "Pu", "Pt", "Pt", "Sc", "Sc"], "fractional_positions": [[0.500, 0.000, 0.125], [0.000, 0.500, 0.875], [0.000, 0.500, 0.275], [0.500, 0.000, 0.725], [0.500, 0.500, 0.500], [0.000, 0.000, 0.500]]}

---

C | {"formula": "PuScPt", "functional": "PBE", "state": "relaxed", "dos_ef_per_ev_fu": 7.53, "volume_a3_per_atom": 21.6, "lattice_angstrom": [[4.979, 0.000, 0.000], [0.000, 6.021, 0.000], [0.000, 0.000, 8.626]], "species": ["Sc", "Sc", "Sc", "Sc", "Pu", "Pu", "Pu", "Pu", "Pt", "Pt", "Pt", "Pt"], "fractional_positions": [[0.750, 0.250, 0.385], [0.250, 0.250, 0.885], [0.250, 0.750, 0.885], [0.750, 0.750, 0.385], [0.751, 0.000, 0.051], [0.251, 0.500, 0.218], [0.249, 0.000, 0.551], [0.749, 0.500, 0.718], [0.251, 0.000, 0.218], [0.751, 0.500, 0.051], [0.249, 0.500, 0.551], [0.749, 0.000, 0.718]]}

---

Energy above the most stable structure, in kJ/mol of atoms: A 20.9; B 0.0; C 9.3

---

A | {"formula": "PuSiPt3", "functional": "PBE", "state": "relaxed", "dos_ef_per_ev_fu": 11.70, "volume_a3_per_atom": 18.1, "lattice_angstrom": [[-2.112, -2.575, -2.287], [-2.800, -0.277, 2.900], [-5.210, 2.830, -1.944]], "species": ["Pt", "Pt", "Pt", "Si", "Pu"], "fractional_positions": [[0.815, 0.619, 0.075], [0.640, 0.943, 0.426], [0.140, 0.443, 0.426], [0.023, 0.826, 0.660], [0.390, 0.194, 0.924]]}

---

B | {"formula": "PuSiPt3", "functional": "PBE", "state": "relaxed", "dos_ef_per_ev_fu": 13.83, "volume_a3_per_atom": 19.2, "lattice_angstrom": [[-3.075, 4.381, 1.192], [-1.964, 0.771, -7.898], [-0.875, -5.120, 3.948]], "species": ["Pt", "Pt", "Pt", "Pt", "Pt", "Pt", "Pu", "Pu", "Si", "Si"], "fractional_positions": [[0.258, 0.258, 0.016], [0.242, 0.742, 0.984], [0.750, 0.119, 0.500], [0.758, 0.258, 0.016], [0.742, 0.742, 0.984], [0.250, 0.881, 0.500], [0.250, 0.284, 0.500], [0.750, 0.716, 0.500], [0.500, 0.000, 0.000], [0.000, 0.500, 0.000]]}

---

Energy above the most stable structure, in kJ/mol of atoms: A 0.0; B 16.0

---

A | {"formula": "SmPu2Pt", "functional": "PBE", "state": "relaxed", "dos_ef_per_ev_fu": 16.28, "volume_a3_per_atom": 23.6, "lattice_angstrom": [[5.110, 0.000, 0.000], [2.555, 4.425, 0.000], [2.555, 1.475, 4.177]], "species": ["Pu", "Pu", "Sm", "Pt"], "fractional_positions": [[0.250, 0.250, 0.250], [0.750, 0.750, 0.750], [0.500, 0.500, 0.500], [0.000, 0.000, 0.000]]}

---

B | {"formula": "SmPu2Pt", "functional": "PBE", "state": "relaxed", "dos_ef_per_ev_fu": 14.50, "volume_a3_per_atom": 25.9, "lattice_angstrom": [[3.698, 0.000, 0.000], [0.000, 3.698, 0.000], [0.000, 0.000, 7.572]], "species": ["Pu", "Pu", "Pt", "Sm"], "fractional_positions": [[0.000, 0.000, 0.200], [0.000, 0.000, 0.800], [0.500, 0.500, 0.000], [0.500, 0.500, 0.500]]}

---

Energy above the most stable structure, in kJ/mol of atoms: A 12.0; B 0.0

---

A | {"formula": "PuTaPt", "functional": "PBE", "state": "relaxed", "dos_ef_per_ev_fu": 8.18, "volume_a3_per_atom": 20.1, "lattice_angstrom": [[-0.499, -2.497, 2.132], [4.566, -0.669, 0.285], [-3.955, 6.967, 4.650]], "species": ["Pt", "Pt", "Pu", "Pu", "Ta", "Ta"], "fractional_positions": [[0.885, 0.520, 0.769], [0.115, 0.480, 0.231], [0.433, 0.117, 0.866], [0.567, 0.883, 0.134], [0.750, 0.751, 0.501], [0.250, 0.249, 0.499]]}

---

B | {"formula": "PuTaPt", "functional": "PBE", "state": "relaxed", "dos_ef_per_ev_fu": 7.97, "volume_a3_per_atom": 19.4, "lattice_angstrom": [[2.844, 0.000, 0.000], [0.000, 4.856, 0.000], [0.000, -2.428, 4.206]], "species": ["Pt", "Ta", "Pu"], "fractional_positions": [[0.166, 0.333, 0.667], [0.167, 0.000, 0.000], [0.667, 0.667, 0.333]]}

---

Energy above the most stable structure, in kJ/mol of atoms: A 0.0; B 30.0

---

A | {"formula": "PuTaPt2", "functional": "PBE", "state": "relaxed", "dos_ef_per_ev_fu": 11.71, "volume_a3_per_atom": 19.2, "lattice_angstrom": [[-3.975, 2.401, -1.106], [-2.081, -0.655, -4.247], [-4.174, -2.295, -0.285]], "species": ["Ta", "Pt", "Pt", "Pu"], "fractional_positions": [[0.000, 0.000, 0.000], [0.250, 0.250, 0.250], [0.750, 0.750, 0.750], [0.500, 0.500, 0.500]]}

---

B | {"formula": "PuTaPt2", "functional": "PBE", "state": "relaxed", "dos_ef_per_ev_fu": 7.58, "volume_a3_per_atom": 18.2, "lattice_angstrom": [[-1.290, 0.250, -2.622], [-0.179, -2.921, -0.190], [-7.602, 0.220, 3.761]], "species": ["Pt", "Pt", "Pu", "Ta"], "fractional_positions": [[0.000, 0.000, 0.224], [0.000, 0.000, 0.776], [0.500, 0.500, 0.500], [0.500, 0.500, 0.000]]}

---

Energy above the most stable structure, in kJ/mol of atoms: A 24.9; B 0.0

---

A | {"formula": "Tb2PuPt", "functional": "PBE", "state": "relaxed", "dos_ef_per_ev_fu": 6.50, "volume_a3_per_atom": 26.2, "lattice_angstrom": [[-1.859, 2.992, -0.349], [0.124, -0.333, -3.522], [-7.099, -4.392, 0.165]], "species": ["Tb", "Tb", "Pu", "Pt"], "fractional_positions": [[0.000, 0.000, 0.200], [0.000, 0.000, 0.800], [0.500, 0.500, 0.500], [0.500, 0.500, 0.000]]}

---

B | {"formula": "Tb2PuPt", "functional": "PBE", "state": "relaxed", "dos_ef_per_ev_fu": 10.53, "volume_a3_per_atom": 29.0, "lattice_angstrom": [[-0.116, -1.974, -3.216], [3.013, -1.988, -1.105], [-2.240, -8.790, 3.259]], "species": ["Pu", "Tb", "Tb", "Pt"], "fractional_positions": [[0.500, 0.500, 0.500], [0.730, 0.730, 0.809], [0.270, 0.270, 0.191], [0.000, 0.000, 0.000]]}

---

Energy above the most stable structure, in kJ/mol of atoms: A 0.0; B 12.6